Material: Mg12Cd3In
Method: DFT, PBE
State: optimized geometry

Cell: 4.535 4.535 17.282 Å, 90.00 90.00 90.00°
Sites, in units of the cell vectors:
Mg: 0.500 0.500 0.000
Mg: 0.500 0.500 0.252
Mg: 0.500 0.500 0.500
Mg: 0.500 0.500 0.748
Mg: 0.500 0.000 0.128
Mg: 0.500 0.000 0.377
Mg: 0.500 0.000 0.623
Mg: 0.500 0.000 0.872
Mg: 0.000 0.500 0.128
Mg: 0.000 0.500 0.377
Mg: 0.000 0.500 0.623
Mg: 0.000 0.500 0.872
Cd: 0.000 0.000 0.252
Cd: 0.000 0.000 0.500
Cd: 0.000 0.000 0.748
In: 0.000 0.000 0.000

Values from the calculation:
formation energy from the elements	-0.069	eV/atom
SG	P4/mmm (123)



Material: Mg5Cd3In
Method: DFT, PBE
State: optimized geometry

Cell: 6.240 8.689 8.688 Å, 120.00 90.00 90.00°
Sites, in units of the cell vectors:
Mg: 0.000 0.667 0.333
Mg: 0.500 0.333 0.667
Mg: 0.000 0.333 0.667
Mg: 0.500 0.667 0.333
Mg: 0.750 0.685 0.685
Mg: 0.750 0.000 0.315
Mg: 0.750 0.315 0.000
Mg: 0.250 0.315 0.315
Mg: 0.250 0.000 0.685
Mg: 0.250 0.685 0.000
Cd: 0.750 0.358 0.358
Cd: 0.750 0.000 0.642
Cd: 0.750 0.642 0.000
Cd: 0.250 0.642 0.642
Cd: 0.250 0.000 0.358
Cd: 0.250 0.358 0.000
In: 0.000 0.000 0.000
In: 0.500 0.000 0.000

Values from the calculation:
formation energy from the elements	-0.057	eV/atom
SG	P6_3/mcm (193)



Material: MgCdIn2
Method: DFT, PBE
State: optimized geometry

Cell: 5.752 5.752 5.156 Å, 81.60 81.60 35.19°
Sites, in units of the cell vectors:
Mg: 0.501 0.501 0.500
Cd: 0.244 0.244 0.254
In: 0.000 0.000 0.002
In: 0.755 0.755 0.744

Values from the calculation:
formation energy from the elements	-0.025	eV/atom
SG	Cm (8)



Material: Mg2Cd5In2
Method: DFT, PBE
State: optimized geometry

Cell: 3.280 7.178 10.565 Å, 69.86 107.85 89.98°
Sites, in units of the cell vectors:
Mg: 0.599 0.271 0.099
Mg: 0.401 0.729 0.901
Cd: 0.189 0.572 0.190
Cd: 0.900 0.248 0.404
Cd: 0.100 0.752 0.596
Cd: 0.811 0.428 0.810
Cd: 0.000 0.000 0.000
In: 0.331 0.891 0.325
In: 0.669 0.109 0.675

Values from the calculation:
formation energy from the elements	0.007	eV/atom
SG	P-1 (2)



Material: Mg2CdIn
Method: DFT, PBE
State: optimized geometry

Cell: 3.263 5.771 6.156 Å, 52.78 90.00 90.00°
Sites, in units of the cell vectors:
Mg: 0.000 0.000 0.000
Mg: 0.500 0.500 0.000
Cd: 0.500 0.500 0.500
In: 0.000 0.000 0.500

Values from the calculation:
formation energy from the elements	-0.072	eV/atom
SG	P2/m (10)



Material: Mg2CdIn5
Method: DFT, PBE
State: optimized geometry

Cell: 3.181 11.248 11.897 Å, 90.00 90.00 98.13°
Sites, in units of the cell vectors:
Mg: 0.906 0.812 0.378
Mg: 0.906 0.812 0.122
Mg: 0.094 0.188 0.622
Mg: 0.094 0.188 0.878
Cd: 0.839 0.678 0.750
Cd: 0.161 0.322 0.250
In: 0.959 0.918 0.882
In: 0.959 0.918 0.618
In: 0.313 0.627 0.521
In: 0.313 0.627 0.979
In: 0.785 0.570 0.250
In: 0.215 0.430 0.750
In: 0.687 0.373 0.479
In: 0.687 0.373 0.021
In: 0.041 0.082 0.118
In: 0.041 0.082 0.382

Values from the calculation:
formation energy from the elements	0.065	eV/atom
SG	Cmcm (63)
energy relative to the lowest polymorph listed for this composition	0.84	eV per formula unit



no.,electronic total energy (eV for the cell shown)
1,-25.72
2,-27.94
3,-8.09
4,-13.18
5,-7.13
6,-34.55